[1]
Compound: KRe2Pb
Source: Alexandria
Functional: PBE
Structure: optimized geometry

Cell lengths 2.8131, 2.8131, 11.2940 Å; angles 90.00, 90.00, 110.49 degrees
Closest atoms and distances in Å follow each position.
Atoms (fractional coordinates):
1 Re 0.0000 0.0000 0.5117  4 Re 2.81, 2 Pb 3.13
2 K 0.5000 0.5000 0.2500  4 K 2.81
3 Pb 0.5000 0.5000 0.7500  4 Pb 2.81, 4 Re 3.13
4 Re 0.0000 0.0000 0.9883  4 Re 2.81, 2 Pb 3.13

Results
* symmetry: No. 65
* E_form: 574 kJ/mol of formula units
* N(E_F): 3.72 states/eV per cell
* uncorrected energy: -5.939 eV/atom

[2]
Compound: Nd8SbTe4S3
Source: Alexandria
Functional: PBE
Structure: optimized geometry

Cell lengths 8.6178, 8.7945, 8.6174 Å; angles 119.33, 120.00, 90.00 degrees
Closest atoms and distances in Å follow each position.
Atoms (fractional coordinates):
1 Sb 0.0000 0.5000 0.0000  6 Nd 3.05
2 S 0.0000 0.5000 0.5000  6 Nd 2.89-2.91
3 Nd 0.2475 0.7164 0.9691  2 S 2.89, 1 Sb 3.05, 1 Te 3.13
4 Te 0.0000 0.0000 0.0000  6 Nd 3.26-3.28
5 Nd 0.2783 0.2836 0.0309  2 S 2.89, 1 Sb 3.05, 1 Te 3.13
6 Te 0.0000 0.0000 0.5000  6 Nd 3.26-3.28
7 Te 0.5000 0.0000 0.5000  6 Nd 3.26-3.28
8 Te 0.5000 0.0000 0.0000  6 Nd 3.13
9 Nd 0.7525 0.2836 0.0309  2 S 2.89, 1 Sb 3.05, 1 Te 3.13
10 S 0.5000 0.5000 0.0000  6 Nd 2.89-2.91
11 Nd 0.7217 0.7164 0.9691  2 S 2.89, 1 Sb 3.05, 1 Te 3.13
12 Nd 0.7362 0.7088 0.4725  3 S 2.91
13 Nd 0.7526 0.2836 0.5052  2 S 2.89, 1 Sb 3.05, 1 Te 3.13
14 S 0.5000 0.5000 0.5000  6 Nd 2.89-2.91
15 Nd 0.2638 0.2912 0.5275  3 S 2.91
16 Nd 0.2474 0.7164 0.4948  2 S 2.89, 1 Sb 3.05, 1 Te 3.13

Results
* symmetry: No. 166
* formation energy without anion corrections: -1.618 eV per atom
* N(E_F): 4.62 states/eV per cell
* uncorrected energy: -5.819 eV/atom

[3]
Compound: La2TeW
Source: Alexandria
Functional: PBE
Structure: optimized geometry

Cell lengths 6.1265, 6.1265, 6.1265 Å; angles 136.45, 136.45, 63.29 degrees
Closest atoms and distances in Å follow each position.
Atoms (fractional coordinates):
1 La 0.2500 0.7500 0.5000  4 W 3.21, 4 La 3.46, 4 Te 3.46
2 La 0.0000 0.0000 0.0000  4 Te 3.21, 4 La 3.46, 4 W 3.46
3 W 0.7500 0.2500 0.5000  8 La 3.21-3.46, 4 Te 3.46
4 Te 0.5000 0.5000 0.0000  8 La 3.21-3.46, 4 W 3.46

Results
* symmetry: No. 119
* formation energy without anion corrections: 0.137 eV per atom
* N(E_F): 3.72 states/eV per cell
* uncorrected energy: -6.350 eV/atom